Material: CrCdInO4
Method: DFT, PBE with a Hubbard U
State: relaxed

The space group is Imma (No. 74) and the conventional cell measures 6.2852, 6.4769 and 9.1138 Å, with angles of 90.00, 90.00 and 90.00 degrees. The inequivalent atoms are Cr at (0.2500, 0.2500, 0.2500), Cd at (0.0000, 0.2500, 0.6271), In at (0.0000, 0.0000, 0.0000), O at (0.0000, 0.0414, 0.2418) and O at (0.2301, 0.2500, 0.0257).

As for the calculated volume: 13.25 Å³/atom. The value obtained for the raw total energy is -168.2 eV for the cell shown.

---

Material: Cr2CdInO8
Method: DFT, PBE with a Hubbard U
State: relaxed

The space group is I-4m2 (No. 119) and the conventional cell measures 7.1247, 7.1247 and 6.2543 Å, with angles of 90.00, 90.00 and 90.00 degrees. The inequivalent atoms are Cr at (0.0000, 0.0000, 0.0000), Cr at (0.0000, 0.5000, 0.2500), Cd at (0.0000, 0.5000, 0.7500), In at (0.0000, 0.0000, 0.5000), O at (0.0000, 0.1836, 0.8207) and O at (0.0000, 0.3103, 0.4067).

As for the calculated volume: 13.23 Å³/atom. The value obtained for the raw total energy is -145.1 eV for the cell shown.

---

Which magnetization belongs to each record? In order, 3.0; 1.0 μB per formula unit.